First-principles (PBE+U) data for a geometry-optimized ZrTiV2O6 structure, as listed in Alexandria.

mass density: 4806 kg/m3
symmetry: R3, No. 146
total energy: -8.690 eV per atom

Cell: 5.282 5.282 5.703 Å, 62.42 62.41 60.00°
Site moments in Bohr magnetons follow the coordinates.
Atoms (fractional coordinates):
1 O 0.928 0.611 0.256  0.00
2 O 0.720 0.089 0.741  -0.01
3 O 0.449 0.720 0.742  -0.01
4 O 0.089 0.449 0.741  -0.01
5 O 0.205 0.928 0.256  0.00
6 O 0.611 0.205 0.256  0.00
7 Ti 0.813 0.813 0.561  0.22
8 V 0.516 0.517 0.451  2.58
9 V 0.017 0.017 0.949  2.60
10 Zr 0.312 0.312 0.063  0.11